(1)
DFT (GGA-PBE) results for Y2Tm2CCl5 after structural relaxation.

a b c (Å): 8.6748 8.6748 7.8139
angles (deg): 102.43 102.43 24.67
Element x y z (fractional)
Cl  0.8353  0.8353  0.6729
Cl  0.1735  0.1735  0.8470
Cl  0.5000  0.5000  0.5000
Cl  0.1647  0.1647  0.3271
Cl  0.8265  0.8265  0.1530
Tm  0.3582  0.3582  0.9238
Tm  0.6418  0.6418  0.0762
Y  0.9980  0.9980  0.2100
Y  0.0020  0.0020  0.7900
C  0.5000  0.5000  0.0000

Calculated values
mass density: 4.889 g/cm³
E: -0.421 Ry/atom
total moment: 0.0 μB/cell
SG: C2/m

=====

(2)
DFT (GGA-PBE) results for W6CCl18 after structural relaxation.

a b c (Å): 9.4560 9.4560 18.4716
angles (deg): 90.00 90.00 119.98
Element x y z (fractional)
Cl  0.5527  0.8571  0.0840
Cl  0.3052  0.9175  0.8913
Cl  0.0430  0.5698  0.7500
Cl  0.0825  0.3877  0.6087
Cl  0.3877  0.0825  0.3913
Cl  0.9570  0.5267  0.2500
Cl  0.2874  0.1127  0.7500
Cl  0.0825  0.3877  0.8913
Cl  0.6948  0.6123  0.1087
Cl  0.8254  0.7126  0.7500
Cl  0.4733  0.4303  0.2500
Cl  0.5527  0.8571  0.4160
Cl  0.4473  0.3043  0.9160
Cl  0.3052  0.9175  0.6087
Cl  0.4473  0.3043  0.5840
Cl  0.5698  0.0430  0.2500
Cl  0.9175  0.3052  0.3913
Cl  0.8571  0.5527  0.9160
Cl  0.6123  0.6948  0.8913
Cl  0.9175  0.3052  0.1087
Cl  0.6123  0.6948  0.6087
Cl  0.3877  0.0825  0.1087
Cl  0.1429  0.6956  0.4159
Cl  0.6948  0.6123  0.3913
Cl  0.8571  0.5527  0.5840
Cl  0.5267  0.9570  0.7500
Cl  0.6956  0.1429  0.5841
Cl  0.1127  0.2874  0.2500
Cl  0.3043  0.4473  0.0840
Cl  0.3043  0.4473  0.4160
Cl  0.4303  0.4733  0.7500
Cl  0.6956  0.1429  0.9159
Cl  0.8873  0.1747  0.7500
Cl  0.1429  0.6956  0.0841
Cl  0.7126  0.8254  0.2500
Cl  0.1747  0.8873  0.2500
W  0.6430  0.4886  0.8299
W  0.4886  0.6430  0.1701
W  0.1544  0.5114  0.3299
W  0.4886  0.6430  0.3299
W  0.8456  0.3571  0.6701
W  0.5114  0.1544  0.8299
W  0.3571  0.8456  0.1701
W  0.8456  0.3571  0.8299
W  0.6430  0.4886  0.6701
W  0.1544  0.5114  0.1701
W  0.3571  0.8456  0.3299
W  0.5114  0.1544  0.6701
C  0.3333  0.6667  0.2500
C  0.6667  0.3333  0.7500

Calculated values
mass density: 4.070 g/cm³
E: -0.413 Ry/atom
total moment: 0.0 μB/cell
SG: P-62c

=====

(3)
DFT (GGA-PBE) results for Zr6CCl14 after structural relaxation.

a b c (Å): 9.6674 9.6674 11.6605
angles (deg): 90.00 90.00 84.42
Element x y z (fractional)
Cl  0.2509  0.2509  0.0000
Cl  0.0349  0.2102  0.2519
Cl  0.6565  0.3435  0.2610
Cl  0.7102  0.5349  0.7519
Cl  0.2102  0.0349  0.7481
Cl  0.3623  0.8850  0.4908
Cl  0.8965  0.6035  0.2500
Cl  0.2898  0.4651  0.2481
Cl  0.8850  0.3623  0.5092
Cl  0.8435  0.1565  0.7610
Cl  0.3435  0.6565  0.7390
Cl  0.8623  0.3850  0.0092
Cl  0.1150  0.6377  0.4908
Cl  0.1377  0.6150  0.9908
Cl  0.6150  0.1377  0.0092
Cl  0.7491  0.7491  0.0000
Cl  0.2491  0.2491  0.5000
Cl  0.7898  0.9651  0.2519
Cl  0.9651  0.7898  0.7481
Cl  0.6035  0.8965  0.7500
Cl  0.3850  0.8623  0.9908
Cl  0.3965  0.1035  0.2500
Cl  0.5349  0.7102  0.2481
Cl  0.6377  0.1150  0.5092
Cl  0.7509  0.7509  0.5000
Cl  0.1035  0.3965  0.7500
Cl  0.1565  0.8435  0.2390
Cl  0.4651  0.2898  0.7519
Zr  0.1443  0.8557  0.6050
Zr  0.5467  0.6835  0.8829
Zr  0.6835  0.5467  0.1171
Zr  0.3557  0.6443  0.1050
Zr  0.3165  0.4533  0.8829
Zr  0.8165  0.9533  0.6171
Zr  0.1835  0.0467  0.3829
Zr  0.0467  0.1835  0.6171
Zr  0.4533  0.3165  0.1171
Zr  0.9533  0.8165  0.3829
Zr  0.8557  0.1443  0.3950
Zr  0.6443  0.3557  0.8950
C  0.0000  0.0000  0.5000
C  0.5000  0.5000  0.0000

Calculated values
mass density: 3.233 g/cm³
E: -0.432 Ry/atom
total moment: 0.0 μB/cell
SG: Cmce

=====

(4)
DFT (GGA-PBE) results for CoC2 after structural relaxation.

a b c (Å): 5.6119 5.6119 5.6119
angles (deg): 60.00 60.00 60.00
Element x y z (fractional)
Co  0.5000  0.5000  0.5000
Co  0.2500  0.2500  0.2500
C  0.3750  0.3750  0.8750
C  0.3750  0.8750  0.3750
C  0.3750  0.3750  0.3750
C  0.8750  0.3750  0.3750

Calculated values
mass density: 2.204 g/cm³
E: -0.495 Ry/atom
total moment: 0.0 μB/cell
SG: Fd-3m

=====

(5)
DFT (GGA-PBE) results for CoC8 after structural relaxation.

a b c (Å): 4.9858 4.9858 3.4413
angles (deg): 90.00 90.00 120.00
Element x y z (fractional)
C  0.1678  0.3355  0.0000
C  0.6667  0.3333  0.0000
C  0.8322  0.6645  0.0000
C  0.3355  0.1678  0.0000
C  0.6645  0.8322  0.0000
C  0.3333  0.6667  0.0000
C  0.1678  0.8322  0.0000
C  0.8322  0.1678  0.0000
Co  0.0000  0.0000  0.5000

Calculated values
mass density: 3.475 g/cm³
E: -0.637 Ry/atom
total moment: 0.0 μB/cell
SG: P6/mmm

=====

(6)
DFT (GGA-PBE) results for Co2C3 after structural relaxation.

a b c (Å): 6.3648 6.3648 6.3648
angles (deg): 109.47 109.47 109.47
Element x y z (fractional)
Co  0.7213  0.7213  0.7213
Co  0.5000  0.0000  0.7787
Co  0.0000  0.7787  0.5000
Co  0.2787  0.5000  0.0000
Co  0.2213  0.2213  0.2213
Co  0.0000  0.2787  0.5000
Co  0.5000  0.0000  0.2787
Co  0.7787  0.5000  0.0000
C  0.7500  0.9673  0.2173
C  0.7827  0.0327  0.7500
C  0.0327  0.7500  0.7827
C  0.2173  0.7500  0.9673
C  0.7173  0.4673  0.2500
C  0.9673  0.2173  0.7500
C  0.4673  0.2500  0.7173
C  0.2827  0.2500  0.5327
C  0.7500  0.7827  0.0327
C  0.5327  0.2827  0.2500
C  0.2500  0.5327  0.2827
C  0.2500  0.7173  0.4673

Calculated values
mass density: 5.150 g/cm³
E: -0.551 Ry/atom
total moment: 0.0 μB/cell
SG: I-43d

=====

(7)
DFT (GGA-PBE) results for CoC after structural relaxation.

a b c (Å): 3.0206 3.0206 4.9359
angles (deg): 90.00 90.00 120.00
Element x y z (fractional)
Co  0.3333  0.6667  0.8759
Co  0.0000  0.0000  0.3759
C  0.0000  0.0000  0.9991
C  0.3333  0.6667  0.4991

Calculated values
mass density: 6.041 g/cm³
E: -0.550 Ry/atom
total moment: 0.0 μB/cell
SG: P6_3mc

=====

(8)
DFT (GGA-PBE) results for CoC after structural relaxation.

a b c (Å): 2.8503 2.8503 2.8503
angles (deg): 59.18 59.18 59.18
Element x y z (fractional)
Co  0.5000  0.5000  0.5000
C  0.0000  0.0000  0.0000

Calculated values
mass density: 7.331 g/cm³
E: -0.540 Ry/atom
total moment: 0.2 μB/cell
SG: R-3m

=====

- Which of these has the highest mass density?
  number 8

=====

- The lowest E belongs to which entry?
  CoC8

=====

- Number 3 is which compound?
  Zr6CCl14